No. 1
Here is a relaxed LiAl2 crystal from Alexandria via LeMat-Bulk. Energies are from PBE.

abc: 5.383 5.383 6.956
angles: 76.42 76.42 30.25
Sites, in units of the cell vectors:
1 Al 0.670 0.670 0.667
2 Al 0.608 0.608 0.283
3 Al 0.003 0.003 0.992
4 Al 0.333 0.333 0.330
5 Li 0.946 0.946 0.607
6 Li 0.274 0.274 0.955

Output
energy relative to the elements	-59	meV per atom
relative energy among the computed polymorphs	50	meV per atom

***

No. 2
Here is a relaxed Cs2PuCu2Te4 crystal from Alexandria via LeMat-Bulk. Energies are from PBE.

abc: 4.450 8.960 8.328
angles: 107.13 105.50 90.00
Site moments in Bohr magnetons follow the coordinates.
Sites, in units of the cell vectors:
1 Cu 0.325 0.016 0.651  -0.01
2 Cu 0.675 0.984 0.349  -0.01
3 Te 0.804 0.844 0.608  -0.02
4 Te 0.519 0.777 0.037  -0.01
5 Te 0.481 0.223 0.963  -0.01
6 Te 0.196 0.156 0.392  -0.02
7 Cs 0.862 0.435 0.723  0.00
8 Cs 0.138 0.565 0.277  0.00
9 Pu 0.000 0.000 0.000  0.10

Output
raw formation energy	-4.7	eV per formula unit

***

No. 3
Here is a relaxed Tb4AsP2Se crystal from Alexandria via LeMat-Bulk. Energies are from PBE.

abc: 4.066 7.069 7.042
angles: 70.71 90.00 90.00
Sites, in units of the cell vectors:
1 Tb 0.000 0.764 0.741
2 Tb 0.500 0.240 0.750
3 Tb 0.500 0.760 0.250
4 Tb 0.000 0.236 0.259
5 As 0.000 0.500 0.500
6 P 0.000 0.000 0.000
7 P 0.500 0.000 0.500
8 Se 0.500 0.500 0.000

Output
raw formation energy	-13.7	eV per formula unit

***

No. 4
Here is a relaxed Pr4PbAu crystal from Alexandria via LeMat-Bulk. Energies are from PBE.

abc: 5.683 7.212 10.064
angles: 90.00 114.94 90.00
Sites, in units of the cell vectors:
1 Pr 0.655 0.250 0.868
2 Pr 0.918 0.478 0.231
3 Pr 0.082 0.978 0.769
4 Pr 0.082 0.522 0.769
5 Pr 0.385 0.750 0.551
6 Pr 0.615 0.250 0.449
7 Pr 0.918 0.022 0.231
8 Pr 0.345 0.750 0.132
9 Pb 0.312 0.250 0.085
10 Pb 0.688 0.750 0.915
11 Au 0.203 0.250 0.553
12 Au 0.797 0.750 0.447

Output
energy relative to the elements	-441	meV per atom
relative energy among the computed polymorphs	0	meV per atom

***

No. 5
Here is a relaxed PbSCl2 crystal from Alexandria via LeMat-Bulk. Energies are from PBE.

abc: 5.149 5.149 5.149
angles: 60.00 60.00 60.00
Site moments in Bohr magnetons follow the coordinates.
Sites, in units of the cell vectors:
1 Cl 0.750 0.750 0.750  0.19
2 Cl 0.250 0.250 0.250  0.19
3 S 0.000 0.000 0.000  0.98
4 Pb 0.500 0.500 0.500  -0.01

Output
raw formation energy	-0.3	eV per formula unit
relative energy among the computed polymorphs	619	meV per atom

***

No. 6
Here is a relaxed LaTb4SmHo2 crystal from Alexandria via LeMat-Bulk. Energies are from PBE.

abc: 7.170 12.402 12.408
angles: 131.75 125.31 89.99
Sites, in units of the cell vectors:
1 Ho 0.500 0.500 0.000
2 Ho 0.500 0.000 0.500
3 Ho 0.000 0.000 0.500
4 Ho 0.500 0.000 0.000
5 Tb 0.245 0.751 0.498
6 Tb 0.258 0.751 0.005
7 Tb 0.752 0.751 0.005
8 Tb 0.248 0.249 0.995
9 Tb 0.742 0.249 0.995
10 Tb 0.249 0.249 0.502
11 Tb 0.755 0.249 0.502
12 Tb 0.751 0.751 0.498
13 La 0.500 0.500 0.500
14 La 0.000 0.000 0.000
15 Sm 0.000 0.500 0.500
16 Sm 0.000 0.500 0.000

Output
energy relative to the elements	18	meV per atom

***

Number 1: N(E_F) 0.299 states/eV/atom, final energy -3.192 eV/atom. Number 2: N(E_F) 0.917 states/eV/atom, final energy -4.614 eV/atom. Number 3: N(E_F) 0.155 states/eV/atom, final energy -6.392 eV/atom. Number 4: N(E_F) 1.197 states/eV/atom, final energy -4.792 eV/atom. Number 5: N(E_F) 0.727 states/eV/atom, final energy -2.966 eV/atom. Number 6: N(E_F) 1.309 states/eV/atom, final energy -4.647 eV/atom.